An optimized crystal structure of BaHg2BiPt, computed with GGA-PBE.

The structure belongs to space group P4/mmm (No. 123); the cell edges are 5.304, 5.304 and 5.649 Å and the angles 90.00°, 90.00° and 90.00°. Symmetry generates all atoms from Ba at (0.000, 0.000, 0.000), Hg at (0.000, 0.500, 0.500), Bi at (0.500, 0.500, 0.000) and Pt at (0.500, 0.500, 0.500).

The formation energy from the elements comes out at -0.36 eV per atom. As for the size of the total moment: 0.0 μB/f.u. The offset from the most stable computed form comes out at 0.103 eV per atom. The calculation puts the volume at 159 Å³/cell.